Record 1
NdSmGe2 GGA-PBE relaxed; V = 110.1 Å³ per cell; E = -21.35 eV/cell; calculated formation energy = -0.658 eV/atom
1.0
4.298 0.000 0.000
2.149 3.722 0.000
2.149 1.241 6.880
Ge Nd Sm
2 1 1
Direct
0.749 0.749 0.754 Ge
0.251 0.251 0.246 Ge
0.500 0.500 0.500 Nd
0.000 0.000 0.000 Sm

***

Record 2
NdSm2Ge GGA-PBE relaxed; V = 114.1 Å³ per cell; E = -20.08 eV/cell; calculated formation energy = -0.313 eV/atom
1.0
-2.752 2.828 0.030
-2.767 -2.684 -0.845
-1.087 -1.133 7.159
Ge Nd Sm
1 1 2
Direct
0.500 0.500 0.500 Ge
0.500 0.500 0.000 Nd
0.000 0.000 0.702 Sm
0.000 0.000 0.298 Sm

***

Record 3
NdSm4Ge4 GGA-PBE relaxed; V = 515.3 Å³ per cell; E = -94.47 eV/cell; calculated formation energy = -0.569 eV/atom
1.0
-1.198 -5.659 1.482
7.879 -2.739 -4.091
4.557 1.136 8.016
Nd Sm Ge
2 8 8
Direct
0.000 0.000 0.000 Nd
0.500 0.500 0.500 Nd
0.386 0.316 0.912 Sm
0.886 0.588 0.816 Sm
0.386 0.684 0.088 Sm
0.114 0.184 0.588 Sm
0.614 0.912 0.684 Sm
0.114 0.816 0.412 Sm
0.886 0.412 0.184 Sm
0.614 0.088 0.316 Sm
0.620 0.776 0.372 Ge
0.620 0.224 0.628 Ge
0.120 0.872 0.724 Ge
0.880 0.276 0.872 Ge
0.880 0.724 0.128 Ge
0.380 0.372 0.224 Ge
0.380 0.628 0.776 Ge
0.120 0.128 0.276 Ge

***

Record 4
NdSm2Ge GGA-PBE relaxed; V = 478.5 Å³ per cell; E = -82.43 eV/cell; calculated formation energy = -0.446 eV/atom
1.0
-5.818 -2.573 1.104
3.360 -7.021 1.345
0.789 2.122 9.106
Nd Sm Ge
4 8 4
Direct
0.632 0.530 0.250 Nd
0.868 0.030 0.250 Nd
0.368 0.470 0.750 Nd
0.132 0.970 0.750 Nd
0.130 0.688 0.054 Sm
0.370 0.188 0.446 Sm
0.870 0.312 0.554 Sm
0.630 0.812 0.946 Sm
0.870 0.312 0.946 Sm
0.630 0.812 0.554 Sm
0.130 0.688 0.446 Sm
0.370 0.188 0.054 Sm
0.078 0.382 0.250 Ge
0.422 0.882 0.250 Ge
0.922 0.618 0.750 Ge
0.578 0.118 0.750 Ge

***

Record 5
NdSm2Ge GGA-PBE relaxed; V = 108.9 Å³ per cell; E = -20.18 eV/cell; calculated formation energy = -0.340 eV/atom
1.0
-4.206 1.192 -1.876
-2.069 -3.628 2.334
-0.846 2.879 3.726
Ge Nd Sm
1 1 2
Direct
0.500 0.000 0.000 Ge
0.500 0.500 0.500 Nd
0.000 0.000 0.500 Sm
0.000 0.500 0.000 Sm

***

Record 6
NdSmGe2 GGA-PBE relaxed; V = 198.9 Å³ per cell; E = -44.28 eV/cell; calculated formation energy = -0.854 eV/atom
1.0
-0.223 3.723 -1.596
-5.565 0.545 2.049
2.896 3.182 7.018
Nd Sm Ge
2 2 4
Direct
0.000 0.132 0.681 Nd
0.000 0.868 0.181 Nd
0.500 0.368 0.319 Sm
0.500 0.632 0.819 Sm
0.000 0.610 0.539 Ge
0.000 0.390 0.039 Ge
0.500 0.888 0.461 Ge
0.500 0.112 0.961 Ge

***

Record 7
NdSmGe4 GGA-PBE relaxed; V = 131.8 Å³ per cell; E = -30.15 eV/cell; calculated formation energy = -0.365 eV/atom
1.0
-3.620 -3.918 2.042
-3.537 -2.744 -3.547
0.833 -5.533 -1.150
Ge Nd Sm
4 1 1
Direct
0.624 0.624 0.127 Ge
0.624 0.127 0.624 Ge
0.624 0.624 0.624 Ge
0.127 0.624 0.624 Ge
0.000 0.000 0.000 Nd
0.250 0.250 0.250 Sm

***

Record 8
NdSmTlGe GGA-PBE relaxed; V = 107.9 Å³ per cell; E = -18.29 eV/cell; calculated formation energy = -0.454 eV/atom
1.0
-2.969 0.445 -4.420
-4.004 -3.426 -0.886
-5.066 1.665 0.341
Tl Nd Ge Sm
1 1 1 1
Direct
0.750 0.750 0.750 Tl
0.500 0.500 0.500 Nd
0.250 0.250 0.250 Ge
0.000 0.000 0.000 Sm